(1)
TaCdP | GGA-PBE | optimized geometry

Calculated volume (Å³ per cell): 114
Excess energy over the best structure of this formula in the dataset (meV/atom): 227.6
Formation enthalpy at 0 K (meV per atom): -140
Symmetry: No. 51
Final energy (eV/cell): -37.19

a b c (Å): 5.717 3.117 6.383
angles (deg): 90.00 90.00 90.00
Element x y z (fractional)
P 0.250 0.000 0.764
P 0.750 0.000 0.236
Cd 0.250 0.000 0.354
Cd 0.750 0.000 0.646
Ta 0.000 0.500 0.000
Ta 0.500 0.500 0.000


(2)
Ho2PHPt6 | GGA-PBE | optimized geometry

Calculated volume (Å³ per cell): 329
Symmetry: No. 59
Final energy (eV/cell): -125.51

a b c (Å): 5.694 6.895 8.391
angles (deg): 90.00 90.00 90.00
Element x y z (fractional)
Pt 0.000 0.680 0.251
Pt 0.241 0.493 0.000
Pt 0.500 0.320 0.751
Pt 0.760 0.924 0.500
Pt 0.741 0.507 0.500
Pt 0.240 0.924 0.500
Pt 0.740 0.076 0.000
Pt 0.000 0.680 0.749
Pt 0.759 0.493 0.000
Pt 0.500 0.320 0.249
Pt 0.260 0.076 0.000
Pt 0.259 0.507 0.500
Ho 0.500 0.775 0.779
Ho 0.500 0.775 0.221
Ho 0.000 0.225 0.279
Ho 0.000 0.225 0.721
H 0.000 0.655 0.500
H 0.500 0.345 0.000
P 0.000 0.820 0.000
P 0.500 0.180 0.500


(3)
CsNaAl2Cl8 | GGA-PBE | optimized geometry

Calculated volume (Å³ per cell): 377
ΔE_f (raw) (eV/atom): -1.740
Symmetry: No. 148
Final energy (eV/cell): -45.31

a b c (Å): 6.645 6.645 10.570
angles (deg): 71.68 71.68 60.00
Element x y z (fractional)
Cl 0.285 0.961 0.175
Cl 0.715 0.039 0.825
Cl 0.039 0.421 0.825
Cl 0.179 0.179 0.462
Cl 0.579 0.285 0.175
Cl 0.961 0.579 0.175
Cl 0.421 0.715 0.825
Cl 0.821 0.821 0.538
Al 0.252 0.252 0.243
Al 0.748 0.748 0.757
Na 0.000 0.000 0.000
Cs 0.500 0.500 0.500


(4)
Tb7Pr3Er2 | GGA-PBE | optimized geometry

Calculated volume (Å³ per cell): 397
Excess energy over the best structure of this formula in the dataset (meV/atom): 0.0
Formation enthalpy at 0 K (meV per atom): 86
Symmetry: No. 10
Final energy (eV/cell): -54.84

a b c (Å): 3.585 5.871 18.904
angles (deg): 92.99 90.00 90.00
Element x y z (fractional)
Tb 0.500 0.807 0.823
Tb 0.000 0.691 0.145
Tb 0.000 0.309 0.855
Tb 0.500 0.257 0.537
Tb 0.000 0.000 0.000
Tb 0.500 0.193 0.177
Tb 0.500 0.743 0.463
Pr 0.000 0.221 0.366
Pr 0.000 0.779 0.634
Pr 0.500 0.500 0.000
Er 0.500 0.711 0.293
Er 0.500 0.289 0.707